Compound: Zn2SbMo
Source: Alexandria via LeMat-Bulk
Functional: GGA-PBE
Structure: optimized geometry

Lattice parameters (Å, degrees): 5.102 5.102 5.102 134.05 134.05 67.01
Atoms (fractional coordinates):
Mo (0.500, 0.500, 0.000)
Sb (0.750, 0.250, 0.500)
Zn (0.000, 0.000, 0.000)
Zn (0.250, 0.750, 0.500)

Values from the calculation:
Its formation energy (no corrections) is 0.17 eV per atom. The space group is No. 119.